TbCoO3, relaxed, DFT PBE with a Hubbard U; uncorrected energy = -7.07 eV/atom; crystal system = trigonal
1.0
0.269 2.039 -5.663
4.893 -0.148 -3.513
0.650 -3.444 -4.901
Co O Tb
2 6 2
Direct
0.250 0.250 0.250
0.750 0.750 0.750
0.750 0.429 0.071
0.571 0.929 0.250
0.071 0.750 0.429
0.929 0.250 0.571
0.429 0.071 0.750
0.250 0.571 0.929
0.000 0.000 0.000
0.500 0.500 0.500